No. 1
Computed, not measured: a relaxed SmSiNiC crystal at the PBE-GGA level of DFT.

The density comes out at 6.81 Mg/m³. For the density of states at the Fermi level, the calculation gives 3.8 states/eV per cell. As for the total energy: -6.78 eV per atom. Its uncorrected formation energy is -0.496 eV per atom.

The space group is P4/nmm (No. 129, origin choice 2) and the conventional cell measures 3.764, 3.764 and 8.576 Å, with angles of 90.00, 90.00 and 90.00 degrees. The inequivalent atoms are Sm at (0.250, 0.250, 0.151), Si at (0.250, 0.250, 0.655), Ni at (0.250, 0.750, 0.500) and C at (0.250, 0.250, 0.865).

***

No. 2
Computed, not measured: a relaxed LiZrTc2 crystal at the PBE-GGA level of DFT.

The density comes out at 7.52 Mg/m³. For the density of states at the Fermi level, the calculation gives 5.3 states/eV per cell. As for the total energy: -7.55 eV per atom.

The space group is Cmmm (No. 65) and the conventional cell measures 5.496, 9.247 and 2.558 Å, with angles of 90.00, 90.00 and 90.00 degrees. The inequivalent atoms are Li at (0.000, 0.000, 0.000), Zr at (0.000, 0.500, 0.000) and Tc at (0.250, 0.250, 0.500).

***

No. 3
Computed, not measured: a relaxed LiCaPt2 crystal at the PBE-GGA level of DFT.

The density comes out at 7.81 Mg/m³. For the density of states at the Fermi level, the calculation gives 7.8 states/eV per cell. As for the total energy: -4.39 eV per atom.

The space group is I-42d (No. 122) and the conventional cell measures 4.752, 4.752 and 16.466 Å, with angles of 90.00, 90.00 and 90.00 degrees. The inequivalent atoms are Li at (0.000, 0.000, 0.000), Ca at (0.000, 0.000, 0.500) and Pt at (0.082, 0.250, 0.125).

***

No. 4
Computed, not measured: a relaxed Ba3Nd3ErSe8 crystal at the PBE-GGA level of DFT.

The density comes out at 5.60 Mg/m³. For the density of states at the Fermi level, the calculation gives 11.4 states/eV per cell. As for the total energy: -5.44 eV per atom. Its uncorrected formation energy is -1.936 eV per atom.

The space group is R-3m (No. 166, hexagonal axes) and the conventional cell measures 8.6222, 8.6222 and 22.7095 Å, with angles of 90.00, 90.00 and 120.00 degrees. The inequivalent atoms are Ba at (0.0000, 0.5000, 0.0000), Nd at (0.0000, 0.5000, 0.5000), Er at (0.0000, 0.0000, 0.5000), Se at (0.0000, 0.0000, 0.2411) and Se at (0.0103, 0.5051, 0.2379).

***

Please write out number 3 again, unchanged.
Computed, not measured: a relaxed LiCaPt2 crystal at the PBE-GGA level of DFT.

The density comes out at 7.81 Mg/m³. For the density of states at the Fermi level, the calculation gives 7.8 states/eV per cell. As for the total energy: -4.39 eV per atom.

The space group is I-42d (No. 122) and the conventional cell measures 4.752, 4.752 and 16.466 Å, with angles of 90.00, 90.00 and 90.00 degrees. The inequivalent atoms are Li at (0.000, 0.000, 0.000), Ca at (0.000, 0.000, 0.500) and Pt at (0.082, 0.250, 0.125).